Record 1
Material: SrScTc2
Method: DFT, GGA-PBE
State: optimized geometry

Computed properties:
Energy of formation: 0.821 eV/atom
Spin magnetization: 0.00 Bohr magnetons per cell
Energy relative to the lowest polymorph listed for this composition: 612 meV/atom

a b c (Å): 4.7426 4.7426 18.6662
angles (deg): 90.00 90.00 90.00
Space group I-42d (No. 122)
Inequivalent atoms, fractional coordinates:
Sr 0.0000 0.0000 0.0000
Sc 0.0000 0.0000 0.5000
Tc 0.0581 0.2500 0.6250

=====

Record 2
Material: SrScTc2
Method: DFT, GGA-PBE
State: optimized geometry

Computed properties:
Energy of formation: 0.820 eV/atom
Spin magnetization: 0.00 Bohr magnetons per cell
Energy relative to the lowest polymorph listed for this composition: 611 meV/atom

a b c (Å): 5.2626 5.2626 2.9157
angles (deg): 90.00 90.00 90.00
Space group P4/mmm (No. 123)
Inequivalent atoms, fractional coordinates:
Sr 0.0000 0.0000 0.0000
Sc 0.5000 0.5000 0.0000
Tc 0.0000 0.5000 0.5000

=====

Record 3
Material: SrSc2Tc
Method: DFT, GGA-PBE
State: optimized geometry

Computed properties:
Energy of formation: 0.166 eV/atom
Spin magnetization: 0.00 Bohr magnetons per cell
Energy relative to the lowest polymorph listed for this composition: 167 meV/atom

a b c (Å): 3.6610 3.6610 7.8545
angles (deg): 90.00 90.00 90.00
Space group P4mm (No. 99)
Inequivalent atoms, fractional coordinates:
Sr 0.0000 0.0000 0.0000
Sc 0.0000 0.0000 0.4089
Sc 0.5000 0.5000 0.6297
Tc 0.5000 0.5000 0.2964

=====

Record 4
Material: SrScTc2
Method: DFT, GGA-PBE
State: optimized geometry

Computed properties:
Energy of formation: 0.655 eV/atom
Spin magnetization: 0.00 Bohr magnetons per cell
Energy relative to the lowest polymorph listed for this composition: 446 meV/atom

a b c (Å): 6.7741 6.7741 6.7741
angles (deg): 90.00 90.00 90.00
Space group F-43m (No. 216)
Inequivalent atoms, fractional coordinates:
Sr 0.0000 0.0000 0.0000
Sc 0.2500 0.2500 0.7500
Tc 0.0000 0.0000 0.5000
Tc 0.2500 0.2500 0.2500

=====

Record 5
Material: SrScTc
Method: DFT, GGA-PBE
State: optimized geometry

Computed properties:
Energy of formation: 0.497 eV/atom
Spin magnetization: 0.00 Bohr magnetons per cell
Energy relative to the lowest polymorph listed for this composition: 191 meV/atom

a b c (Å): 3.4550 3.4550 7.5012
angles (deg): 90.00 90.00 120.00
Space group P3m1 (No. 156)
Inequivalent atoms, fractional coordinates:
Sr 0.0000 0.0000 0.0000
Sc 0.6667 0.3333 0.5408
Tc 0.3333 0.6667 0.3110

=====

Record 6
Material: SrSc2Tc
Method: DFT, GGA-PBE
State: optimized geometry

Computed properties:
Energy of formation: 0.616 eV/atom
Spin magnetization: 0.00 Bohr magnetons per cell
Energy relative to the lowest polymorph listed for this composition: 617 meV/atom

a b c (Å): 7.5306 7.5306 10.7280
angles (deg): 90.00 90.00 90.00
Space group I4_1/amd (No. 141, origin choice 2)
Inequivalent atoms, fractional coordinates:
Sr 0.0000 0.2500 0.3750
Sc 0.0000 0.0000 0.0000
Tc 0.0000 0.2500 0.8750